Record 1
# Sr4Eu2N

A relaxed Sr4Eu2N crystal (GGA-PBE, the Alexandria database).

## Properties
Uncorrected formation energy, eV per atom: -0.093

abc: 5.2346 5.2346 22.0726
angles: 90.00 90.00 90.00
Sites, in units of the cell vectors:
1 Sr 0.0000 0.0000 0.1176
2 Sr 0.0000 0.0000 0.8824
3 Sr 0.0000 0.5000 0.0000
4 Sr 0.0000 0.5000 0.5000
5 Sr 0.5000 0.0000 0.0000
6 Sr 0.5000 0.0000 0.5000
7 Sr 0.5000 0.5000 0.3824
8 Sr 0.5000 0.5000 0.6176
9 Eu 0.0000 0.0000 0.3020
10 Eu 0.0000 0.0000 0.6980
11 Eu 0.5000 0.5000 0.1980
12 Eu 0.5000 0.5000 0.8020
13 N 0.0000 0.0000 0.0000
14 N 0.5000 0.5000 0.5000

---

Record 2
# BeTeAsN2

A relaxed BeTeAsN2 crystal (GGA-PBE, the Alexandria database).

## Properties
Uncorrected formation energy, eV per atom: 1.437
Energy above the lowest structure with this stoichiometry, eV per atom: 0.143

abc: 3.7494 3.7494 5.1741
angles: 90.00 90.00 90.00
Sites, in units of the cell vectors:
1 Be 0.0000 0.0000 0.0000
2 Te 0.0000 0.0000 0.5000
3 As 0.5000 0.5000 0.5000
4 N 0.0000 0.5000 0.0000
5 N 0.5000 0.0000 0.0000

---

Record 3
# NpPH

A relaxed NpPH crystal (GGA-PBE, the Alexandria database).

## Properties
Energy above the lowest structure with this stoichiometry, eV per atom: 0.453

abc: 3.8383 3.8383 6.7014
angles: 90.00 90.00 90.00
Sites, in units of the cell vectors:
1 Np 0.0000 0.0000 0.0000
2 Np 0.5000 0.5000 0.5000
3 P 0.0000 0.0000 0.5921
4 P 0.5000 0.5000 0.0921
5 H 0.0000 0.0000 0.3540
6 H 0.5000 0.5000 0.8540

---

Record 4
# Tm4Cu2HgRu

A relaxed Tm4Cu2HgRu crystal (GGA-PBE, the Alexandria database).

## Properties
E_tot, eV/atom: -4.849

abc: 8.4963 8.4963 8.4963
angles: 33.65 33.65 33.65
Sites, in units of the cell vectors:
1 Tm 0.1175 0.1175 0.1175
2 Tm 0.3691 0.3691 0.3691
3 Tm 0.6309 0.6309 0.6309
4 Tm 0.8825 0.8825 0.8825
5 Cu 0.2486 0.2486 0.2486
6 Cu 0.7514 0.7514 0.7514
7 Hg 0.5000 0.5000 0.5000
8 Ru 0.0000 0.0000 0.0000

---

Record 5
# LiAcPdBr

A relaxed LiAcPdBr crystal (GGA-PBE, the Alexandria database).

## Properties
Uncorrected formation energy, eV per atom: -0.929

abc: 14.8769 14.8769 14.8769
angles: 16.94 16.94 16.94
Sites, in units of the cell vectors:
1 Li 0.1859 0.1859 0.1859
2 Li 0.8141 0.8141 0.8141
3 Ac 0.4191 0.4191 0.4191
4 Ac 0.5809 0.5809 0.5809
5 Pd 0.1238 0.1238 0.1238
6 Pd 0.8762 0.8762 0.8762
7 Br 0.2932 0.2932 0.2932
8 Br 0.7068 0.7068 0.7068

---

Record 6
# Th8Os3RuS4

A relaxed Th8Os3RuS4 crystal (GGA-PBE, the Alexandria database).

## Properties
Uncorrected formation energy, eV per atom: -1.072

abc: 8.5544 8.5544 8.5544
angles: 56.88 56.88 56.88
Sites, in units of the cell vectors:
1 Th 0.2411 0.2411 0.2411
2 Th 0.2411 0.7413 0.7413
3 Th 0.2587 0.2587 0.7589
4 Th 0.2587 0.7589 0.2587
5 Th 0.7413 0.2411 0.7413
6 Th 0.7413 0.7413 0.2411
7 Th 0.7589 0.2587 0.2587
8 Th 0.7589 0.7589 0.7589
9 Os 0.0000 0.0000 0.5000
10 Os 0.0000 0.5000 0.0000
11 Os 0.5000 0.0000 0.0000
12 Ru 0.5000 0.5000 0.5000
13 S 0.0000 0.0000 0.0000
14 S 0.0000 0.5000 0.5000
15 S 0.5000 0.0000 0.5000
16 S 0.5000 0.5000 0.0000

---

Q: Which formula does entry 4 have?
A: Tm4Cu2HgRu